i | The following is a DFT calculation (PBE) of crystalline Ga2NiOs2 at its relaxed geometry.

abc: 6.3254 6.3254 3.8034
angles: 90.00 90.00 90.00
Last column: nearest neighbours and their distance in Å.
Space group P4/mbm (No. 127)
Asymmetric unit:
Ga 0.1690 0.3310 0.0000  6 Os 2.57-2.73
Ni 0.0000 0.0000 0.5000  4 Os 2.45
Os 0.1382 0.6382 0.5000  2 Ni 2.45, 1 Os 2.47, 6 Ga 2.57-2.73

Values from the calculation:
N(E_F) = 1.144 states/eV per atom

ii | The following is a DFT calculation (PBE) of crystalline Ga2NiOs2 at its relaxed geometry.

abc: 3.3950 3.3950 12.9629
angles: 90.00 90.00 90.00
Last column: nearest neighbours and their distance in Å.
Space group I4/mmm (No. 139)
Asymmetric unit:
Ga 0.0000 0.5000 0.2500  4 Ga 2.40, 4 Os 2.61
Ni 0.0000 0.0000 0.0000  8 Os 2.71
Os 0.0000 0.0000 0.4029  1 Os 2.52, 4 Ga 2.61, 4 Ni 2.71

Values from the calculation:
N(E_F) = 1.224 states/eV per atom

Order from most stable to least stable according to the calculation: i, ii

i | The following is a DFT calculation (PBE) of crystalline GaNiOs3 at its relaxed geometry.

abc: 4.4751 4.4751 4.4751
angles: 90.00 90.00 90.00
Last column: nearest neighbours and their distance in Å.
Space group Pm-3m (No. 221)
Asymmetric unit:
Ga 0.0000 0.0000 0.0000  6 Os 2.24
Ni 0.5000 0.5000 0.5000  12 Os 3.16
Os 0.0000 0.0000 0.5000  2 Ga 2.24

Values from the calculation:
N(E_F) = 1.609 states/eV per atom

ii | The following is a DFT calculation (PBE) of crystalline GaNiOs3 at its relaxed geometry.

abc: 4.4390 4.4390 4.4390
angles: 90.00 90.00 90.00
Last column: nearest neighbours and their distance in Å.
Space group Pm-3m (No. 221)
Asymmetric unit:
Ga 0.0000 0.0000 0.0000  12 Os 3.14
Ni 0.5000 0.5000 0.5000  6 Os 2.22
Os 0.0000 0.5000 0.5000  2 Ni 2.22

Values from the calculation:
N(E_F) = 0.948 states/eV per atom

Order from most stable to least stable according to the calculation: ii, i

i | The following is a DFT calculation (PBE) of crystalline GaNiP at its relaxed geometry.

abc: 5.5676 5.5676 5.5676
angles: 90.00 90.00 90.00
Last column: nearest neighbours and their distance in Å.
Space group F-43m (No. 216)
Asymmetric unit:
Ga 0.0000 0.0000 0.0000  4 Ni 2.41
Ni 0.2500 0.2500 0.7500  4 Ga 2.41, 4 P 2.41
P 0.0000 0.0000 0.5000  4 Ni 2.41

Values from the calculation:
N(E_F) = 0.394 states/eV per atom

ii | The following is a DFT calculation (PBE) of crystalline GaNiP at its relaxed geometry.

abc: 8.3721 3.5917 6.7599
angles: 90.00 124.55 90.00
Last column: nearest neighbours and their distance in Å.
Space group C2/m (No. 12)
Asymmetric unit:
Ga 0.0952 0.0000 0.3921  5 Ni 2.50-2.65, 3 Ga 2.70-2.79
Ni 0.1684 0.5000 0.7221  3 P 2.28-2.29, 1 Ga 2.50
P 0.1538 0.5000 0.0503  1 P 2.26, 3 Ni 2.28-2.29

Values from the calculation:
N(E_F) = 0.321 states/eV per atom

Order from most stable to least stable according to the calculation: i, ii